(1)
First-principles (PBE-GGA) data for a relaxed CaEuNi crystal, as listed in Alexandria.

Cell: 3.531 3.531 7.078 Å, 104.44 104.44 90.00°
Last column: magnetic moment on the atom in μB.
Positions (direct):
Eu: 0.293 0.293 0.586  6.89
Ni: 0.667 0.667 0.334  -0.14
Ca: 0.040 0.040 0.080  0.02

Values from the calculation:
relative energy among the computed polymorphs	0.0	meV/atom
ΔE_f	-0.031	eV per atom
spin magnetization	7.2	μB per formula unit
Fermi-level density of states	10.361	states/eV per cell
energy	-6.050	eV/atom
symmetry	I4mm (107)

---

(2)
First-principles (PBE-GGA) data for a relaxed CaEuNi4 crystal, as listed in Alexandria.

Cell: 5.121 5.121 5.121 Å, 60.00 60.00 60.00°
Last column: magnetic moment on the atom in μB.
Positions (direct):
Eu: 0.000 0.000 0.000  6.77
Ni: 0.625 0.125 0.625  -0.11
Ni: 0.625 0.625 0.625  -0.11
Ni: 0.625 0.625 0.125  -0.11
Ni: 0.125 0.625 0.625  -0.11
Ca: 0.250 0.250 0.250  0.04

Values from the calculation:
ΔE_f	-0.178	eV per atom
spin magnetization	6.8	μB per formula unit
Fermi-level density of states	15.374	states/eV per cell
energy	-6.079	eV/atom
symmetry	F-43m (216)